(1)
# PBE PmNd4Sc, relaxed
# Fermi-level density of states: 8.6 states/eV/f.u.
# Space-group type: C2/m
# Energy above the lowest structure with this stoichiometry: 0 meV/atom
# Final energy: -4.988 eV/atom
# DFT formation energy: 0.04 eV per atom
data_PmNd4Sc
_symmetry_space_group_name_H-M 'P 1'
_symmetry_Int_Tables_number 1
_cell_length_a 6.245
_cell_length_b 6.243
_cell_length_c 6.238
_cell_angle_alpha 99.61
_cell_angle_beta 80.40
_cell_angle_gamma 60.09
loop_
_symmetry_equiv_pos_as_xyz
'x,y,z'
loop_
_atom_site_label
_atom_site_fract_x
_atom_site_fract_y
_atom_site_fract_z
Sc1 0.000 0.000 0.000
Nd1 0.837 0.837 0.500
Nd2 0.163 0.163 0.500
Pm1 0.500 0.500 0.500
Nd3 0.667 0.667 0.000
Nd4 0.333 0.333 0.000

***

(2)
# PBE Pm2NdSc3, relaxed
# Fermi-level density of states: 12.3 states/eV/f.u.
# Space-group type: P-3m1
# Energy above the lowest structure with this stoichiometry: 0 meV/atom
# Final energy: -5.279 eV/atom
# DFT formation energy: 0.27 eV per atom
data_Pm2NdSc3
_symmetry_space_group_name_H-M 'P 1'
_symmetry_Int_Tables_number 1
_cell_length_a 6.762
_cell_length_b 6.762
_cell_length_c 9.262
_cell_angle_alpha 90.00
_cell_angle_beta 90.00
_cell_angle_gamma 120.00
loop_
_symmetry_equiv_pos_as_xyz
'x,y,z'
loop_
_atom_site_label
_atom_site_fract_x
_atom_site_fract_y
_atom_site_fract_z
Sc1 0.626 0.813 0.263
Pm1 0.667 0.333 0.413
Sc2 0.187 0.813 0.263
Pm2 0.000 0.000 0.000
Nd1 0.333 0.667 0.945
Nd2 0.667 0.333 0.055
Sc3 0.813 0.626 0.737
Sc4 0.374 0.187 0.737
Sc5 0.813 0.187 0.737
Pm3 0.333 0.667 0.587
Pm4 0.000 0.000 0.500
Sc6 0.187 0.374 0.263

***

(3)
# PBE Pm5NdSc4, relaxed
# Fermi-level density of states: 15.6 states/eV/f.u.
# Space-group type: Pmmn
# Final energy: -5.123 eV/atom
# DFT formation energy: 0.26 eV per atom
data_Pm5NdSc4
_symmetry_space_group_name_H-M 'P 1'
_symmetry_Int_Tables_number 1
_cell_length_a 5.463
_cell_length_b 11.306
_cell_length_c 10.389
_cell_angle_alpha 90.00
_cell_angle_beta 90.00
_cell_angle_gamma 90.00
loop_
_symmetry_equiv_pos_as_xyz
'x,y,z'
loop_
_atom_site_label
_atom_site_fract_x
_atom_site_fract_y
_atom_site_fract_z
Pm1 0.750 0.704 0.301
Pm2 0.251 0.000 0.500
Pm3 0.750 0.704 0.699
Sc1 0.250 0.310 0.500
Sc2 0.750 0.000 0.238
Sc3 0.250 0.690 0.500
Sc4 0.750 0.810 0.000
Sc5 0.250 0.500 0.738
Pm4 0.250 0.796 0.199
Pm5 0.250 0.204 0.801
Sc6 0.250 0.500 0.262
Pm6 0.250 0.796 0.801
Pm7 0.250 0.204 0.199
Nd1 0.750 0.500 0.500
Sc7 0.750 0.000 0.762
Pm8 0.749 0.500 0.000
Nd2 0.250 0.000 0.000
Pm9 0.750 0.296 0.699
Pm10 0.750 0.296 0.301
Sc8 0.750 0.190 0.000